Density functional theory data (GGA+U) for a relaxed Li2VP2HO8 crystal.

Summary:
Size of the total moment: 4.0 μB per cell
Symmetry: No. 2
Distance to the lowest polymorph of the same formula: 0.041 eV/atom

Structure (CIF):
```
data_Li2VP2HO8
_chemical_formula_sum 'Li4 V2 P4 H2 O16'
_cell_length_a 4.8400
_cell_length_b 8.1289
_cell_length_c 8.6757
_cell_angle_alpha 97.78
_cell_angle_beta 102.11
_cell_angle_gamma 105.35
_symmetry_space_group_name_H-M 'P 1'
_symmetry_Int_Tables_number 1
loop_
_symmetry_equiv_pos_as_xyz
'x,y,z'
loop_
_atom_site_label
_atom_site_fract_x
_atom_site_fract_y
_atom_site_fract_z
O1 0.2752 0.3797 0.3454
O2 0.9041 0.9285 0.6814
O3 0.2637 0.6767 0.9080
O4 0.2354 0.7497 0.5932
O5 0.8733 0.8096 0.9922
O6 0.7363 0.3233 0.0920
O7 0.4235 0.9317 0.1366
O8 0.7646 0.2503 0.4068
O9 0.1267 0.1904 0.0078
O10 0.0959 0.0715 0.3186
O11 0.8906 0.3628 0.8323
O12 0.5765 0.0683 0.8634
O13 0.1094 0.6372 0.1677
O14 0.7554 0.7354 0.3988
O15 0.2446 0.2646 0.6012
O16 0.7248 0.6203 0.6546
V1 0.5958 0.8153 0.7862
V2 0.4042 0.1847 0.2138
Li1 0.2199 0.1403 0.7708
Li2 0.3309 0.6293 0.3824
Li3 0.7801 0.8597 0.2292
Li4 0.6691 0.3707 0.6176
P1 0.0897 0.2441 0.4256
P2 0.8382 0.2342 0.9428
P3 0.1618 0.7658 0.0572
P4 0.9103 0.7559 0.5744
H1 0.1296 0.5489 0.8681
H2 0.8704 0.4511 0.1319
```